This record from OQMD via LeMat-Bulk describes a relaxed NpCuTc crystal. The functional is PBE.

```
NpCuTc
1.0
0.000 3.014 3.014
3.014 0.000 3.014
3.014 3.014 0.000
Np Cu Tc
1 1 1
Cartesian
0.000 0.000 0.000 Np
1.507 1.507 1.507 Cu
3.014 3.014 3.014 Tc
```

ΔH_f (0 K) = 0.715 eV per atom
E = -8.23 eV/atom
spin magnetization = 2.4 μB/f.u.
space group = F-43m



This record from OQMD via LeMat-Bulk describes a relaxed TmNpCu crystal. The functional is PBE.

```
TmNpCu
1.0
0.000 3.271 3.271
3.271 0.000 3.271
3.271 3.271 0.000
Tm Np Cu
1 1 1
Cartesian
0.000 0.000 0.000 Tm
3.271 3.271 3.271 Np
4.906 4.906 4.906 Cu
```

ΔH_f (0 K) = 0.565 eV per atom
excess energy over the best structure of this formula in the dataset = 0.0000 eV/atom
E = -6.42 eV/atom
spin magnetization = 4.9 μB/f.u.
space group = F-43m



This record from OQMD via LeMat-Bulk describes a relaxed NpCuW crystal. The functional is PBE.

```
NpCuW
1.0
0.000 3.041 3.041
3.041 0.000 3.041
3.041 3.041 0.000
Np Cu W
1 1 1
Cartesian
0.000 0.000 0.000 Np
1.520 1.520 1.520 Cu
3.041 3.041 3.041 W
```

ΔH_f (0 K) = 1.079 eV per atom
E = -8.74 eV/atom
spin magnetization = 2.1 μB/f.u.
space group = F-43m



This record from OQMD via LeMat-Bulk describes a relaxed CuOs crystal. The functional is PBE.

```
CuOs
1.0
2.665 0.000 0.000
-1.333 2.308 0.000
0.000 0.000 4.334
Cu Os
1 1
Cartesian
0.000 0.000 0.000 Cu
1.333 0.769 2.167 Os
```

ΔH_f (0 K) = 0.400 eV per atom
excess energy over the best structure of this formula in the dataset = 0.0000 eV/atom
E = -7.07 eV/atom
spin magnetization = 0.0 μB/f.u.
space group = P-6m2



This record from OQMD via LeMat-Bulk describes a relaxed CuOs2 crystal. The functional is PBE.

```
CuOs2
1.0
0.000 5.332 5.332
5.332 0.000 5.332
5.332 5.332 0.000
Cu Os
2 4
Cartesian
1.333 1.333 1.333 Cu
9.331 9.331 9.331 Cu
0.000 0.000 0.000 Os
2.666 2.666 0.000 Os
2.666 0.000 2.666 Os
0.000 2.666 2.666 Os
```

ΔH_f (0 K) = 4.339 eV per atom
excess energy over the best structure of this formula in the dataset = 3.4014 eV/atom
E = -4.38 eV/atom
spin magnetization = 6.2 μB/f.u.
space group = Fd-3m



This record from OQMD via LeMat-Bulk describes a relaxed CuOs crystal. The functional is PBE.

```
CuOs
1.0
0.000 2.660 2.660
2.660 0.000 2.660
2.660 2.660 0.000
Cu Os
1 1
Cartesian
0.000 0.000 0.000 Cu
3.990 3.990 3.990 Os
```

ΔH_f (0 K) = 2.349 eV per atom
excess energy over the best structure of this formula in the dataset = 1.9493 eV/atom
E = -5.12 eV/atom
spin magnetization = 1.4 μB/f.u.
space group = F-43m



This record from OQMD via LeMat-Bulk describes a relaxed CuPOs crystal. The functional is PBE.

```
CuPOs
1.0
3.499 0.000 0.000
0.000 3.499 0.000
0.000 0.000 6.234
Cu P Os
2 2 2
Cartesian
0.875 2.624 0.000 Cu
2.624 0.875 0.000 Cu
0.875 0.875 1.734 P
2.624 2.624 4.501 P
0.875 0.875 4.015 Os
2.624 2.624 2.219 Os
```

E = -6.61 eV/atom
spin magnetization = 0.0 μB/f.u.
space group = P4/nmm



This record from OQMD via LeMat-Bulk describes a relaxed CuP5Os3 crystal. The functional is PBE.

```
CuP5Os3
1.0
5.777 0.000 0.000
-2.889 5.003 0.000
0.000 0.000 5.319
Cu P Os
1 5 3
Cartesian
0.000 0.000 0.000 Cu
0.000 0.000 2.660 P
0.000 3.335 1.060 P
0.000 3.335 4.259 P
2.889 1.668 1.060 P
2.889 1.668 4.259 P
-1.444 2.502 2.660 Os
2.889 0.000 2.660 Os
1.444 2.502 2.660 Os
```

E = -6.74 eV/atom
spin magnetization = 0.0 μB/f.u.
space group = P6/mmm



This record from OQMD via LeMat-Bulk describes a relaxed CuTcOsPb crystal. The functional is PBE.

```
CuTcOsPb
1.0
0.000 3.186 3.186
3.186 0.000 3.186
3.186 3.186 0.000
Cu Tc Os Pb
1 1 1 1
Cartesian
0.000 0.000 0.000 Cu
3.186 3.186 3.186 Tc
1.593 1.593 1.593 Os
4.778 4.778 4.778 Pb
```

excess energy over the best structure of this formula in the dataset = 0.0000 eV/atom
E = -6.51 eV/atom
spin magnetization = 0.0 μB/f.u.
space group = F-43m



This record from OQMD via LeMat-Bulk describes a relaxed CuOsPbW crystal. The functional is PBE.

```
CuOsPbW
1.0
0.000 3.213 3.213
3.213 0.000 3.213
3.213 3.213 0.000
Cu Os Pb W
1 1 1 1
Cartesian
0.000 0.000 0.000 Cu
3.213 3.213 3.213 Os
4.820 4.820 4.820 Pb
1.607 1.607 1.607 W
```

excess energy over the best structure of this formula in the dataset = 0.0000 eV/atom
E = -7.11 eV/atom
spin magnetization = 0.3 μB/f.u.
space group = F-43m



This record from OQMD via LeMat-Bulk describes a relaxed YCuOsPb crystal. The functional is PBE.

```
YCuOsPb
1.0
0.000 3.390 3.390
3.390 0.000 3.390
3.390 3.390 0.000
Y Cu Os Pb
1 1 1 1
Cartesian
0.000 0.000 0.000 Y
5.085 5.085 5.085 Cu
1.695 1.695 1.695 Os
3.390 3.390 3.390 Pb
```

excess energy over the best structure of this formula in the dataset = 0.0000 eV/atom
E = -6.08 eV/atom
spin magnetization = 0.0 μB/f.u.
space group = F-43m



This record from OQMD via LeMat-Bulk describes a relaxed YCuOsPb crystal. The functional is PBE.

```
YCuOsPb
1.0
0.000 3.404 3.404
3.404 0.000 3.404
3.404 3.404 0.000
Y Cu Os Pb
1 1 1 1
Cartesian
0.000 0.000 0.000 Y
3.404 3.404 3.404 Cu
5.107 5.107 5.107 Os
1.702 1.702 1.702 Pb
```

excess energy over the best structure of this formula in the dataset = 0.2586 eV/atom
E = -5.82 eV/atom
spin magnetization = 0.0 μB/f.u.
space group = F-43m



This record from OQMD via LeMat-Bulk describes a relaxed ZnCuOsPb crystal. The functional is PBE.

```
ZnCuOsPb
1.0
0.000 3.209 3.209
3.209 0.000 3.209
3.209 3.209 0.000
Zn Cu Os Pb
1 1 1 1
Cartesian
0.000 0.000 0.000 Zn
3.209 3.209 3.209 Cu
4.814 4.814 4.814 Os
1.605 1.605 1.605 Pb
```

excess energy over the best structure of this formula in the dataset = 0.1479 eV/atom
E = -4.24 eV/atom
spin magnetization = 0.0 μB/f.u.
space group = F-43m



This record from OQMD via LeMat-Bulk describes a relaxed ZnCuOsPb crystal. The functional is PBE.

```
ZnCuOsPb
1.0
0.000 3.207 3.207
3.207 0.000 3.207
3.207 3.207 0.000
Zn Cu Os Pb
1 1 1 1
Cartesian
0.000 0.000 0.000 Zn
4.811 4.811 4.811 Cu
1.604 1.604 1.604 Os
3.207 3.207 3.207 Pb
```

excess energy over the best structure of this formula in the dataset = 0.0000 eV/atom
E = -4.39 eV/atom
spin magnetization = 0.0 μB/f.u.
space group = F-43m



This record from OQMD via LeMat-Bulk describes a relaxed ZrCuOsPb crystal. The functional is PBE.

```
ZrCuOsPb
1.0
0.000 3.299 3.299
3.299 0.000 3.299
3.299 3.299 0.000
Zr Cu Os Pb
1 1 1 1
Cartesian
0.000 0.000 0.000 Zr
4.949 4.949 4.949 Cu
1.650 1.650 1.650 Os
3.299 3.299 3.299 Pb
```

excess energy over the best structure of this formula in the dataset = 0.0000 eV/atom
E = -6.65 eV/atom
spin magnetization = 0.0 μB/f.u.
space group = F-43m



This record from OQMD via LeMat-Bulk describes a relaxed ZrCuOsPb crystal. The functional is PBE.

```
ZrCuOsPb
1.0
0.000 3.322 3.322
3.322 0.000 3.322
3.322 3.322 0.000
Zr Cu Os Pb
1 1 1 1
Cartesian
0.000 0.000 0.000 Zr
3.322 3.322 3.322 Cu
4.983 4.983 4.983 Os
1.661 1.661 1.661 Pb
```

excess energy over the best structure of this formula in the dataset = 0.2114 eV/atom
E = -6.43 eV/atom
spin magnetization = 0.0 μB/f.u.
space group = F-43m



This record from OQMD via LeMat-Bulk describes a relaxed CuOsPd2 crystal. The functional is PBE.

```
CuOsPd2
1.0
0.000 3.065 3.065
3.065 0.000 3.065
3.065 3.065 0.000
Cu Os Pd
1 1 2
Cartesian
0.000 0.000 0.000 Cu
4.597 4.597 4.597 Os
1.532 1.532 1.532 Pd
3.065 3.065 3.065 Pd
```

ΔH_f (0 K) = 0.433 eV per atom
E = -5.89 eV/atom
spin magnetization = 1.0 μB/f.u.
space group = F-43m



This record from OQMD via LeMat-Bulk describes a relaxed CuSiOsPd crystal. The functional is PBE.

```
CuSiOsPd
1.0
0.000 3.009 3.009
3.009 0.000 3.009
3.009 3.009 0.000
Cu Si Os Pd
1 1 1 1
Cartesian
0.000 0.000 0.000 Cu
4.514 4.514 4.514 Si
3.009 3.009 3.009 Os
1.505 1.505 1.505 Pd
```

excess energy over the best structure of this formula in the dataset = 0.0000 eV/atom
E = -6.32 eV/atom
spin magnetization = 0.0 μB/f.u.
space group = F-43m



This record from OQMD via LeMat-Bulk describes a relaxed ZnCuOsPd crystal. The functional is PBE.

```
ZnCuOsPd
1.0
0.000 3.049 3.049
3.049 0.000 3.049
3.049 3.049 0.000
Zn Cu Os Pd
1 1 1 1
Cartesian
0.000 0.000 0.000 Zn
1.524 1.524 1.524 Cu
4.573 4.573 4.573 Os
3.049 3.049 3.049 Pd
```

ΔH_f (0 K) = 0.337 eV per atom
excess energy over the best structure of this formula in the dataset = 0.0000 eV/atom
E = -5.01 eV/atom
spin magnetization = 1.7 μB/f.u.
space group = F-43m



This record from OQMD via LeMat-Bulk describes a relaxed PmCuOs crystal. The functional is PBE.

```
PmCuOs
1.0
0.000 3.218 3.218
3.218 0.000 3.218
3.218 3.218 0.000
Pm Cu Os
1 1 1
Cartesian
0.000 0.000 0.000 Pm
4.828 4.828 4.828 Cu
1.609 1.609 1.609 Os
```

ΔH_f (0 K) = 1.144 eV per atom
excess energy over the best structure of this formula in the dataset = 0.5399 eV/atom
E = -5.42 eV/atom
spin magnetization = 0.1 μB/f.u.
space group = F-43m



This record from OQMD via LeMat-Bulk describes a relaxed PmCuOs crystal. The functional is PBE.

```
PmCuOs
1.0
0.000 3.183 3.183
3.183 0.000 3.183
3.183 3.183 0.000
Pm Cu Os
1 1 1
Cartesian
0.000 0.000 0.000 Pm
3.183 3.183 3.183 Cu
4.775 4.775 4.775 Os
```

ΔH_f (0 K) = 0.604 eV per atom
excess energy over the best structure of this formula in the dataset = 0.0000 eV/atom
E = -5.96 eV/atom
spin magnetization = 0.0 μB/f.u.
space group = F-43m



This record from OQMD via LeMat-Bulk describes a relaxed Pr2CuSb4Os crystal. The functional is PBE.

```
Pr2CuSb4Os
1.0
4.415 0.000 0.000
0.000 4.415 0.000
0.000 0.000 10.206
Pr Cu Sb Os
2 1 4 1
Cartesian
0.000 2.207 2.551 Pr
2.207 0.000 7.655 Pr
0.000 0.000 0.000 Cu
0.000 0.000 5.103 Sb
0.000 2.207 8.714 Sb
2.207 0.000 1.492 Sb
2.207 2.207 5.103 Sb
2.207 2.207 0.000 Os
```

E = -5.60 eV/atom
spin magnetization = 0.0 μB/f.u.
space group = P-4m2



This record from OQMD via LeMat-Bulk describes a relaxed CuSbOsPt crystal. The functional is PBE.

```
CuSbOsPt
1.0
0.000 3.170 3.170
3.170 0.000 3.170
3.170 3.170 0.000
Cu Sb Os Pt
1 1 1 1
Cartesian
0.000 0.000 0.000 Cu
4.754 4.754 4.754 Sb
3.170 3.170 3.170 Os
1.585 1.585 1.585 Pt
```

excess energy over the best structure of this formula in the dataset = 0.0000 eV/atom
E = -6.00 eV/atom
spin magnetization = 0.0 μB/f.u.
space group = F-43m



This record from OQMD via LeMat-Bulk describes a relaxed CuSnOsPt crystal. The functional is PBE.

```
CuSnOsPt
1.0
0.000 3.167 3.167
3.167 0.000 3.167
3.167 3.167 0.000
Cu Sn Os Pt
1 1 1 1
Cartesian
0.000 0.000 0.000 Cu
4.750 4.750 4.750 Sn
3.167 3.167 3.167 Os
1.583 1.583 1.583 Pt
```

excess energy over the best structure of this formula in the dataset = 0.0000 eV/atom
E = -6.01 eV/atom
spin magnetization = 0.0 μB/f.u.
space group = F-43m



This record from OQMD via LeMat-Bulk describes a relaxed ZnCuOsPt crystal. The functional is PBE.

```
ZnCuOsPt
1.0
0.000 3.057 3.057
3.057 0.000 3.057
3.057 3.057 0.000
Zn Cu Os Pt
1 1 1 1
Cartesian
0.000 0.000 0.000 Zn
1.528 1.528 1.528 Cu
4.585 4.585 4.585 Os
3.057 3.057 3.057 Pt
```

ΔH_f (0 K) = 0.265 eV per atom
excess energy over the best structure of this formula in the dataset = 0.0000 eV/atom
E = -5.30 eV/atom
spin magnetization = 1.5 μB/f.u.
space group = F-43m



This record from OQMD via LeMat-Bulk describes a relaxed PuCuOs crystal. The functional is PBE.

```
PuCuOs
1.0
0.000 3.077 3.077
3.077 0.000 3.077
3.077 3.077 0.000
Pu Cu Os
1 1 1
Cartesian
0.000 0.000 0.000 Pu
3.077 3.077 3.077 Cu
4.615 4.615 4.615 Os
```

ΔH_f (0 K) = 0.409 eV per atom
excess energy over the best structure of this formula in the dataset = 0.0000 eV/atom
E = -9.28 eV/atom
spin magnetization = 4.5 μB/f.u.
space group = F-43m



This record from OQMD via LeMat-Bulk describes a relaxed PuCuOs crystal. The functional is PBE.

```
PuCuOs
1.0
0.000 3.077 3.077
3.077 0.000 3.077
3.077 3.077 0.000
Pu Cu Os
1 1 1
Cartesian
0.000 0.000 0.000 Pu
4.615 4.615 4.615 Cu
1.538 1.538 1.538 Os
```

ΔH_f (0 K) = 0.806 eV per atom
excess energy over the best structure of this formula in the dataset = 0.3968 eV/atom
E = -8.88 eV/atom
spin magnetization = 3.7 μB/f.u.
space group = F-43m



This record from OQMD via LeMat-Bulk describes a relaxed RbCuOs crystal. The functional is PBE.

```
RbCuOs
1.0
0.000 3.346 3.346
3.346 0.000 3.346
3.346 3.346 0.000
Rb Cu Os
1 1 1
Cartesian
0.000 0.000 0.000 Rb
5.020 5.020 5.020 Cu
3.346 3.346 3.346 Os
```

excess energy over the best structure of this formula in the dataset = 0.0000 eV/atom
E = -3.27 eV/atom
spin magnetization = 2.1 μB/f.u.
space group = F-43m



This record from OQMD via LeMat-Bulk describes a relaxed RbCuOs crystal. The functional is PBE.

```
RbCuOs
1.0
0.000 3.541 3.541
3.541 0.000 3.541
3.541 3.541 0.000
Rb Cu Os
1 1 1
Cartesian
0.000 0.000 0.000 Rb
5.311 5.311 5.311 Cu
1.770 1.770 1.770 Os
```

excess energy over the best structure of this formula in the dataset = 0.7006 eV/atom
E = -2.57 eV/atom
spin magnetization = 2.5 μB/f.u.
space group = F-43m



This record from OQMD via LeMat-Bulk describes a relaxed RbCu3OsS4 crystal. The functional is PBE.

```
RbCu3OsS4
1.0
5.957 0.000 0.000
0.000 5.957 0.000
0.000 0.000 5.957
Rb Cu Os S
1 3 1 4
Cartesian
0.000 0.000 0.000 Rb
0.000 2.978 2.978 Cu
2.978 0.000 2.978 Cu
2.978 2.978 0.000 Cu
2.978 2.978 2.978 Os
1.693 1.693 1.693 S
1.693 4.264 4.264 S
4.264 1.693 4.264 S
4.264 4.264 1.693 S
```

E = -4.52 eV/atom
spin magnetization = 0.0 μB/f.u.
space group = P-43m